Entry from Alexandria: Ti2CdFeH after structural relaxation (PBE-GGA).

a = 4.237 Å, b = 4.237 Å, c = 3.673 Å
α = 90.00°, β = 90.00°, γ = 90.00°
Last column: magnetic moment on the atom in μB.
Fractional coordinates of all 5 atoms:
Cd 0.500 0.500 0.500  -0.01
Fe 0.000 0.000 0.500  1.85
H 0.000 0.000 0.000  0.00
Ti 0.000 0.500 0.000  -0.33
Ti 0.500 0.000 0.000  -0.33

- VASP energy: -5.78 eV/atom
- ρ: 6.67 Mg/m³